DFT (PBE) results for a relaxed structure of HgAsAu.

Output
energy of formation from the pure elements: 0.204 eV per atom
crystal system: orthorhombic
uncorrected energy: -2.539 eV/atom
magnetization: 0.00 μB per formula unit
mass density: 11.2 g/cm³

Cell and atoms, written as CIF:
```
data_HgAsAu
_cell_length_a 2.8246
_cell_length_b 4.1295
_cell_length_c 12.0497
_cell_angle_alpha 90.00
_cell_angle_beta 90.00
_cell_angle_gamma 90.00
_symmetry_space_group_name_H-M 'I m m 2'
_symmetry_Int_Tables_number 44
loop_
_symmetry_equiv_pos_as_xyz
'x,y,z'
'-x,-y,z'
'-x,y,z'
'x,-y,z'
'x+1/2,y+1/2,z+1/2'
'-x+1/2,-y+1/2,z+1/2'
'-x+1/2,y+1/2,z+1/2'
'x+1/2,-y+1/2,z+1/2'
loop_
_atom_site_label
_atom_site_fract_x
_atom_site_fract_y
_atom_site_fract_z
Hg1 0.0000 0.0000 0.0000
As1 0.0000 0.0000 0.2895
Au1 0.0000 0.0000 0.6987
```


DFT (PBE) results for a relaxed structure of ReMoIr2.

Output
energy of formation from the pure elements: -0.121 eV per atom
crystal system: tetragonal
uncorrected energy: -10.372 eV/atom
magnetization: 0.00 μB per formula unit
mass density: 18.4 g/cm³

Cell and atoms, written as CIF:
```
data_ReMoIr2
_cell_length_a 2.7503
_cell_length_b 2.7503
_cell_length_c 7.9483
_cell_angle_alpha 90.00
_cell_angle_beta 90.00
_cell_angle_gamma 90.00
_symmetry_space_group_name_H-M 'P 4 m m'
_symmetry_Int_Tables_number 99
loop_
_symmetry_equiv_pos_as_xyz
'x,y,z'
'-y,x,z'
'-x,-y,z'
'y,-x,z'
'-x,y,z'
'y,x,z'
'x,-y,z'
'-y,-x,z'
loop_
_atom_site_label
_atom_site_fract_x
_atom_site_fract_y
_atom_site_fract_z
Re1 0.0000 0.0000 0.0000
Mo1 0.5000 0.5000 0.7279
Ir1 0.0000 0.0000 0.4932
Ir2 0.5000 0.5000 0.2296
```